(1)
Density functional theory data (PBE) for a relaxed NdTaN2O crystal.

Summary:
**Magnetization**: 0.018 μB/cell
**DFT total energy**: -45.00 eV per formula unit

a = 6.3269 Å, b = 6.3269 Å, c = 12.6261 Å
α = 90.00°, β = 90.00°, γ = 120.00°
Positions (direct):
Nd 0.0000 0.0000 0.0000
Nd 0.0000 0.0000 0.5000
Nd 0.3333 0.6667 0.4631
Nd 0.3333 0.6667 0.9631
Nd 0.6667 0.3333 0.4631
Nd 0.6667 0.3333 0.9631
Ta 0.0000 0.3342 0.2274
Ta 0.0000 0.6658 0.7274
Ta 0.3342 0.0000 0.2274
Ta 0.3342 0.3342 0.7274
Ta 0.6658 0.0000 0.7274
Ta 0.6658 0.6658 0.2274
N 0.0000 0.3087 0.3811
N 0.0000 0.3574 0.0744
N 0.0000 0.6426 0.5744
N 0.0000 0.6913 0.8811
N 0.3087 0.0000 0.3811
N 0.3087 0.3087 0.8811
N 0.3574 0.0000 0.0744
N 0.3574 0.3574 0.5744
N 0.6426 0.0000 0.5744
N 0.6426 0.6426 0.0744
N 0.6913 0.0000 0.8811
N 0.6913 0.6913 0.3811
O 0.0000 0.0000 0.2093
O 0.0000 0.0000 0.7093
O 0.3333 0.6667 0.2396
O 0.3333 0.6667 0.7396
O 0.6667 0.3333 0.2396
O 0.6667 0.3333 0.7396

***

(2)
Density functional theory data (PBE) for a relaxed YBeNiGe crystal.

Summary:
**Magnetization**: 0.007 μB/cell
**DFT total energy**: -21.15 eV per formula unit

a = 4.4116 Å, b = 4.4116 Å, c = 4.4116 Å
α = 60.00°, β = 60.00°, γ = 60.00°
Positions (direct):
Y 0.0000 0.0000 0.0000
Be 0.2500 0.2500 0.2500
Ni 0.7500 0.7500 0.7500
Ge 0.5000 0.5000 0.5000

***

(3)
Density functional theory data (PBE) for a relaxed La2GdCd3Pt2Au crystal.

Summary:
**Magnetization**: 0.029 μB/cell
**DFT total energy**: -39.98 eV per formula unit

a = 4.0357 Å, b = 7.8227 Å, c = 7.8227 Å
α = 120.02°, β = 90.00°, γ = 90.00°
Positions (direct):
La 0.0000 0.2062 0.7938
La 0.0000 0.7938 0.2062
Gd 0.0000 0.6154 0.6154
Cd 0.5000 0.2094 0.4630
Cd 0.5000 0.4630 0.2094
Cd 0.5000 0.9460 0.9460
Pt 0.5000 0.5399 0.8681
Pt 0.5000 0.8681 0.5399
Au 0.0000 0.2097 0.2097

***

(4)
Density functional theory data (PBE) for a relaxed PrMg crystal.

Summary:
**Energy relative to the lowest polymorph listed for this composition**: 105 meV/atom
**Magnetization**: 0.008 μB/cell

a = 5.5037 Å, b = 10.1865 Å, c = 6.3480 Å
α = 90.00°, β = 90.00°, γ = 90.00°
Positions (direct):
Pr 0.0000 0.0677 0.0000
Pr 0.0000 0.3973 0.0813
Pr 0.0000 0.6027 0.5813
Pr 0.0000 0.9323 0.5000
Pr 0.5000 0.4047 0.7525
Pr 0.5000 0.5953 0.2525
Mg 0.0000 0.2559 0.5537
Mg 0.0000 0.7441 0.0537
Mg 0.5000 0.0820 0.6991
Mg 0.5000 0.2275 0.2554
Mg 0.5000 0.7725 0.7554
Mg 0.5000 0.9180 0.1991

***

(5)
Density functional theory data (PBE) for a relaxed HoGeTe3Au crystal.

Summary:
**Energy relative to the lowest polymorph listed for this composition**: 36 meV/atom
**Magnetization**: 0.011 μB/cell

a = 11.1640 Å, b = 4.3106 Å, c = 14.5710 Å
α = 90.00°, β = 90.00°, γ = 90.00°
Positions (direct):
Ho 0.0253 0.2500 0.2382
Ho 0.4747 0.7500 0.7382
Ho 0.5253 0.2500 0.2618
Ho 0.9747 0.7500 0.7618
Ge 0.1672 0.7500 0.4836
Ge 0.3328 0.2500 0.9836
Ge 0.6672 0.7500 0.0164
Ge 0.8328 0.2500 0.5164
Te 0.0556 0.2500 0.6059
Te 0.0746 0.7500 0.0990
Te 0.2301 0.7500 0.8575
Te 0.2699 0.2500 0.3575
Te 0.4254 0.2500 0.5990
Te 0.4444 0.7500 0.1059
Te 0.5556 0.2500 0.8941
Te 0.5746 0.7500 0.4010
Te 0.7301 0.7500 0.6425
Te 0.7699 0.2500 0.1425
Te 0.9254 0.2500 0.9010
Te 0.9444 0.7500 0.3941
Au 0.2329 0.7500 0.2376
Au 0.2671 0.2500 0.7376
Au 0.7329 0.7500 0.2624
Au 0.7671 0.2500 0.7624

***

(6)
Density functional theory data (PBE) for a relaxed SmPu2Se3 crystal.

Summary:
**Magnetization**: 11.653 μB/cell
**DFT total energy**: -53.67 eV per formula unit

a = 7.1967 Å, b = 7.1967 Å, c = 7.1967 Å
α = 146.37°, β = 131.79°, γ = 60.07°
Positions (direct):
Sm 0.0000 0.0000 0.0000
Pu 0.3343 0.3343 0.0000
Pu 0.6657 0.6657 0.0000
Se 0.1692 0.6692 0.5000
Se 0.5000 0.0000 0.5000
Se 0.8308 0.3308 0.5000

***

(7)
Density functional theory data (PBE) for a relaxed PmInNO crystal.

Summary:
**Energy relative to the lowest polymorph listed for this composition**: 36 meV/atom
**Magnetization**: 0.003 μB/cell

a = 6.8653 Å, b = 7.6481 Å, c = 5.4415 Å
α = 90.00°, β = 90.00°, γ = 90.00°
Positions (direct):
Pm 0.0780 0.1412 0.0000
Pm 0.4220 0.1412 0.5000
Pm 0.5780 0.8588 0.0000
Pm 0.9220 0.8588 0.5000
In 0.1126 0.6469 0.0004
In 0.3874 0.6469 0.5004
In 0.6126 0.3531 0.0004
In 0.8874 0.3531 0.5004
N 0.0883 0.1253 0.5611
N 0.4117 0.1253 0.0611
N 0.5883 0.8747 0.5611
N 0.9117 0.8747 0.0611
O 0.0397 0.5843 0.6139
O 0.4603 0.5843 0.1139
O 0.5397 0.4157 0.6139
O 0.9603 0.4157 0.1139

***

(8)
Density functional theory data (PBE) for a relaxed HoB4W crystal.

Summary:
**Energy relative to the lowest polymorph listed for this composition**: 118 meV/atom
**Magnetization**: 0.023 μB/cell

a = 3.1223 Å, b = 3.1223 Å, c = 7.1081 Å
α = 90.00°, β = 90.00°, γ = 120.00°
Positions (direct):
Ho 0.0000 0.0000 0.0000
B 0.3333 0.6667 0.2727
B 0.3333 0.6667 0.7273
B 0.6667 0.3333 0.2727
B 0.6667 0.3333 0.7273
W 0.0000 0.0000 0.5000

***

(9)
Density functional theory data (PBE) for a relaxed LaInNi crystal.

Summary:
**Magnetization**: 0.001 μB/cell
**DFT total energy**: -14.69 eV per formula unit

a = 7.6232 Å, b = 7.6232 Å, c = 4.0410 Å
α = 90.00°, β = 90.00°, γ = 120.00°
Positions (direct):
La 0.0000 0.5850 0.0000
La 0.4150 0.4150 0.0000
La 0.5850 0.0000 0.0000
In 0.0000 0.2449 0.5000
In 0.2449 0.0000 0.5000
In 0.7551 0.7551 0.5000
Ni 0.0000 0.0000 0.0000
Ni 0.3333 0.6667 0.5000
Ni 0.6667 0.3333 0.5000

***

(10)
Density functional theory data (PBE) for a relaxed Rb2Fe3Se4 crystal.

Summary:
**Magnetization**: 12.005 μB/cell
**DFT total energy**: -45.03 eV per formula unit

a = 15.2957 Å, b = 14.6786 Å, c = 6.0367 Å
α = 84.19°, β = 72.69°, γ = 23.12°
Positions (direct):
Rb 0.0467 0.0467 0.2033
Rb 0.2033 0.2033 0.0467
Rb 0.7967 0.7967 0.9533
Rb 0.9533 0.9533 0.7967
Fe 0.1254 0.1254 0.6246
Fe 0.3750 0.3750 0.3750
Fe 0.3754 0.3754 0.8746
Fe 0.6246 0.6246 0.1254
Fe 0.6250 0.6250 0.6250
Fe 0.8746 0.8746 0.3754
Se 0.1549 0.4819 0.2633
Se 0.2633 0.5999 0.1549
Se 0.4001 0.7367 0.5181
Se 0.4819 0.1549 0.5999
Se 0.5181 0.8451 0.4001
Se 0.5999 0.2633 0.4819
Se 0.7367 0.4001 0.8451
Se 0.8451 0.5181 0.7367

***

(11)
Density functional theory data (PBE) for a relaxed BaSmTe2AuS crystal.

Summary:
**Magnetization**: 0.011 μB/cell
**DFT total energy**: -28.41 eV per formula unit

a = 7.8238 Å, b = 7.8238 Å, c = 10.8889 Å
α = 90.00°, β = 90.00°, γ = 147.20°
Positions (direct):
Ba 0.2261 0.7739 0.7500
Ba 0.7739 0.2261 0.2500
Sm 0.5000 0.5000 0.0000
Sm 0.5000 0.5000 0.5000
Te 0.1456 0.8544 0.0571
Te 0.1456 0.8544 0.4429
Te 0.8544 0.1456 0.5571
Te 0.8544 0.1456 0.9429
Au 0.0235 0.9765 0.2500
Au 0.9765 0.0235 0.7500
S 0.4308 0.5692 0.2500
S 0.5692 0.4308 0.7500

***

(12)
Density functional theory data (PBE) for a relaxed Zr4CoPN2 crystal.

Summary:
**Magnetization**: 0.002 μB/cell
**DFT total energy**: -72.15 eV per formula unit

a = 3.3257 Å, b = 3.3257 Å, c = 12.5165 Å
α = 90.00°, β = 90.00°, γ = 120.00°
Positions (direct):
Zr 0.0000 0.0000 0.1440
Zr 0.0000 0.0000 0.8560
Zr 0.6667 0.3333 0.3511
Zr 0.6667 0.3333 0.6489
Co 0.0000 0.0000 0.5000
P 0.6667 0.3333 0.0000
N 0.3333 0.6667 0.2478
N 0.3333 0.6667 0.7522

***

> Among the records above, which one has the lowest magnetization?

LaInNi